# SmDyGe PBE relaxed
# - Crystal system: cubic
# - E_tot: -4.306 eV per atom
# - Magnetization: 0.06 μB/f.u.
data_SmDyGe
_space_group_name_H-M_alt 'F -4 3 m'
_space_group_IT_number 216
_space_group_name_Hall 'F -4 2 3'
_cell_length_a 7.148
_cell_length_b 7.148
_cell_length_c 7.148
_cell_angle_alpha 90.00
_cell_angle_beta 90.00
_cell_angle_gamma 90.00
loop_
_atom_site_label
_atom_site_type_symbol
_atom_site_fract_x
_atom_site_fract_y
_atom_site_fract_z
Sm1 Sm 0.000 0.000 0.000
Dy1 Dy 0.250 0.250 0.750
Ge1 Ge 0.250 0.250 0.250